Computed, not measured: a relaxed NdHoThCd crystal at the PBE-GGA level of DFT.

POSCAR file:
```
NdHoThCd
1.0
3.6323 0.0000 0.0000
0.0000 3.6323 0.0000
0.0000 0.0000 8.9825
Nd Ho Th Cd
1 1 1 1
direct
0.0000 0.0000 0.0000
0.0000 0.0000 0.4647
0.5000 0.5000 0.7266
0.5000 0.5000 0.2454
```

Results
Total energy: -4.5828 eV/atom
Formation energy from the elements: -0.7 eV per formula unit
V: 29.6 A^3/atom
Density of states at the Fermi level: 0.9940 states/eV per atom
E above lowest polymorph: 0.00 eV per formula unit

Computed, not measured: a relaxed NdHoThCd crystal at the PBE-GGA level of DFT.

POSCAR file:
```
NdHoThCd
1.0
0.0000 3.9136 3.9136
3.9136 0.0000 3.9136
3.9136 3.9136 0.0000
Nd Ho Th Cd
1 1 1 1
direct
0.0000 0.0000 0.0000
0.2500 0.2500 0.2500
0.5000 0.5000 0.5000
0.7500 0.7500 0.7500
```

Results
Total energy: -4.3826 eV/atom
Formation energy from the elements: 0.2 eV per formula unit
V: 30.0 A^3/atom
Density of states at the Fermi level: 1.8163 states/eV per atom
E above lowest polymorph: 0.80 eV per formula unit

Computed, not measured: a relaxed NdHo2Tl2Cd2 crystal at the PBE-GGA level of DFT.

POSCAR file:
```
NdHo2Tl2Cd2
1.0
2.5182 1.4539 8.7627
-2.5182 1.4539 8.7627
0.0000 -2.9078 8.7627
Nd Ho Tl Cd
1 2 2 2
direct
0.0000 0.0000 0.0000
0.1342 0.1342 0.1342
0.8658 0.8658 0.8658
0.2675 0.2675 0.2675
0.7325 0.7325 0.7325
0.4328 0.4328 0.4328
0.5672 0.5672 0.5672
```

Results
Total energy: -3.0934 eV/atom
Formation energy from the elements: -1.2 eV per formula unit
V: 27.5 A^3/atom
Density of states at the Fermi level: 0.6815 states/eV per atom

> What is the V in the second record?

30.0 A^3/atom